Density functional theory data (PBE) for Ba2LaBr after structural relaxation.

Structure (POSCAR):
```
Ba2LaBr
1.0
3.976 0.000 0.000
0.000 3.959 0.337
0.000 2.994 11.249
Ba Br La
2 1 1
direct
0.000 0.970 0.033
0.000 0.530 0.467
0.500 0.250 0.250
0.500 0.750 0.750
```

## Properties
* E above lowest polymorph: 0.0477 eV/atom
* density of states at the Fermi level: 5.209 states/eV/f.u.
* calculated density: 4.74 g/cm³
* calculated total energy: -3.210 eV per atom
* formation energy without anion corrections: -0.599 eV/atom



Density functional theory data (PBE) for CrFeAs2 after structural relaxation.

Structure (POSCAR):
```
CrFeAs2
1.0
5.079 -0.194 0.000
2.632 4.349 0.000
-3.856 -2.077 2.580
As Cr Fe
2 1 1
direct
0.000 0.000 0.000
0.250 0.750 0.500
0.500 0.500 0.000
0.750 0.250 0.500
```

## Properties
* energy of formation: 0.233 eV per atom
* E above lowest polymorph: 0.4368 eV/atom
* density of states at the Fermi level: 3.758 states/eV/f.u.
* calculated density: 7.34 g/cm³
* calculated total energy: -6.613 eV per atom



Density functional theory data (PBE) for OsAu2N after structural relaxation.

Structure (POSCAR):
```
OsAu2N
1.0
8.659 0.000 0.000
0.000 8.659 0.000
4.329 4.329 1.868
Os Au N
2 4 2
direct
0.000 0.000 0.000
0.750 0.250 0.500
0.509 0.125 0.250
0.241 0.625 0.250
0.375 0.491 0.750
0.875 0.759 0.750
0.500 0.500 0.000
0.250 0.750 0.500
```

## Properties
* density of states at the Fermi level: 2.602 states/eV/f.u.
* calculated density: 14.19 g/cm³
* calculated total energy: -5.520 eV per atom
* formation energy without anion corrections: 1.008 eV/atom